TlCr2O | the Alexandria database | GGA+U | optimized geometry; space-group type = No. 122; energy above the most stable polymorph in this dataset = 0.000 eV/atom; crystal system = tetragonal
1.0
6.6073 0.0000 0.0000
0.0000 6.6073 0.0000
0.0000 0.0000 8.5344
Tl Cr O
4 8 4
direct
0.0000 0.0000 0.0000
0.0000 0.5000 0.2500
0.5000 0.0000 0.7500
0.5000 0.5000 0.5000
0.0013 0.7500 0.6250
0.2500 0.0013 0.3750
0.2500 0.4987 0.8750
0.4987 0.7500 0.1250
0.5013 0.2500 0.1250
0.7500 0.5013 0.8750
0.7500 0.9987 0.3750
0.9987 0.2500 0.6250
0.0000 0.0000 0.5000
0.0000 0.5000 0.7500
0.5000 0.0000 0.2500
0.5000 0.5000 0.0000